Entry 1:
12
Lattice="1.334 5.004 -1.057 -4.903 -1.025 1.687 2.583 1.030 8.132" Properties=species:S:1:pos:R:3 comment="HoAlNi | the Alexandria database | PBE-GGA | optimized geometry" space_group=Amm2 density_g_cm3=7.91 final_energy_ev_per_cell=-62.667 formation_energy_ev_per_atom=-0.52 pbc="T T T"
Ho -2.024 1.332 3.108
Ho -0.240 3.216 1.319
Ho 1.405 3.871 6.497
Ho -0.939 1.765 6.524
Al 1.626 4.552 3.448
Al 0.961 2.031 3.979
Al -0.844 4.043 4.298
Al -4.038 -0.190 1.307
Ni -3.302 2.417 0.743
Ni -1.481 0.387 0.422
Ni -4.189 -0.719 3.799
Ni -2.958 -0.229 7.675


Entry 2:
10
Lattice="6.826 0.000 0.000 0.000 6.826 0.000 0.000 0.000 4.046" Properties=species:S:1:pos:R:3 comment="Tl2Ni2Se | the Alexandria database | PBE-GGA | optimized geometry" space_group=P4/mbm formation_energy_uncorrected_ev_per_fu=0.88 density_g_cm3=10.66 final_energy_ev_per_cell=-37.795 pbc="T T T"
Ni 2.432 5.845 0.000
Ni 5.845 4.394 0.000
Ni 4.394 0.981 0.000
Ni 0.981 2.432 0.000
Tl 1.120 4.533 2.023
Tl 4.533 5.706 2.023
Tl 5.706 2.293 2.023
Tl 2.293 1.120 2.023
Se 0.000 0.000 0.000
Se 3.413 3.413 0.000


Question: Number 2 is which compound?
Answer: Tl2Ni2Se